Entry 1:
{
  "formula": "KNb3Cl",
  "functional": "meta-GGA SCAN",
  "state": "single point on PBEsol structure",
  "lattice": [[-3.9133, 2.4544, -0.8778], [-2.0358, -3.8667, -1.7358], [-1.6280, -1.0646, 4.2808]],
  "species": ["K", "Nb", "Nb", "Nb", "Cl"],
  "fractional_positions": [[0.5000, 0.5000, 0.5000], [0.5000, 0.0000, 0.0000], [0.0000, 0.0000, 0.5000], [0.0000, 0.5000, 0.0000], [0.0000, 0.0000, 0.0000]],
  "crystal_system": "cubic",
  "spacegroup": "Pm-3m (221)",
  "magmom_total_mub_per_fu": 1.58,
  "e_form_raw_ev_per_atom": 1.167
}

Entry 2:
{
  "formula": "K2Nb3Cl7O5",
  "functional": "meta-GGA SCAN",
  "state": "single point on PBEsol structure",
  "lattice": [[8.9116, 0.0000, 0.0000], [-4.4558, 8.3977, -0.0681], [0.0000, -4.4012, 10.2655]],
  "species": ["Cl", "Cl", "Cl", "Cl", "Cl", "Cl", "Cl", "Cl", "Cl", "Cl", "Cl", "Cl", "Cl", "Cl", "O", "O", "O", "O", "O", "O", "O", "O", "O", "O", "K", "K", "K", "K", "Nb", "Nb", "Nb", "Nb", "Nb", "Nb"],
  "fractional_positions": [[0.6334, 0.6927, 0.8634], [0.4218, 0.6915, 0.1556], [0.5782, 0.3085, 0.8444], [0.0454, 0.6821, 0.9506], [0.0869, 0.0000, 0.2500], [0.9546, 0.3179, 0.0494], [0.6368, 0.6821, 0.4506], [0.9131, 0.0000, 0.7500], [0.3632, 0.3179, 0.5494], [0.2697, 0.6915, 0.6556], [0.3666, 0.3073, 0.1366], [0.9407, 0.3073, 0.6366], [0.0593, 0.6927, 0.3634], [0.7303, 0.3085, 0.3444], [0.2828, 0.9935, 0.8760], [0.0000, 0.0000, 0.5000], [0.3964, 0.9956, 0.1249], [0.6036, 0.0044, 0.8751], [0.7172, 0.0065, 0.1240], [0.7106, 0.9935, 0.3760], [0.5992, 0.9956, 0.6249], [0.2894, 0.0065, 0.6240], [0.0000, 0.0000, 0.0000], [0.4008, 0.0044, 0.3751], [0.7612, 0.6032, 0.1454], [0.1580, 0.3968, 0.3546], [0.2388, 0.3968, 0.8546], [0.8420, 0.6032, 0.6454], [0.2095, 0.9934, 0.0272], [0.7839, 0.9934, 0.5272], [0.5402, 0.0000, 0.2500], [0.2161, 0.0066, 0.4728], [0.7905, 0.0066, 0.9728], [0.4598, 0.0000, 0.7500]],
  "crystal_system": "monoclinic",
  "spacegroup": "C2/c (15)",
  "magmom_total_mub_per_fu": 0.00,
  "e_form_raw_ev_per_atom": -2.177
}

Entry 3:
{
  "formula": "K2SrNb6Cl18",
  "functional": "meta-GGA SCAN",
  "state": "single point on PBEsol structure",
  "lattice": [[-5.7606, -1.0871, -7.2286], [-8.8276, -2.5777, 1.4311], [-7.1816, 7.0543, -1.3292]],
  "species": ["Cl", "Cl", "Cl", "Cl", "Cl", "Cl", "Cl", "Cl", "Cl", "Cl", "Cl", "Cl", "Cl", "Cl", "Cl", "Cl", "Cl", "Cl", "Nb", "Nb", "Nb", "Nb", "Nb", "Nb", "Sr", "K", "K"],
  "fractional_positions": [[0.6701, 0.1604, 0.6880], [0.8396, 0.5185, 0.3120], [0.8412, 0.4206, 0.0007], [0.2625, 0.1588, 0.9993], [0.1604, 0.4815, 0.6880], [0.6647, 0.9249, 0.3268], [0.9163, 0.3353, 0.6732], [0.0837, 0.6647, 0.3268], [0.3353, 0.0751, 0.6732], [0.5794, 0.2625, 0.9993], [0.3299, 0.8396, 0.3120], [0.9249, 0.0837, 0.3268], [0.4206, 0.7375, 0.0007], [0.7375, 0.8412, 0.0007], [0.1588, 0.5794, 0.9993], [0.4815, 0.6701, 0.6880], [0.5185, 0.3299, 0.3120], [0.0751, 0.9163, 0.6732], [0.9252, 0.7895, 0.1376], [0.2105, 0.8524, 0.8624], [0.0748, 0.2105, 0.8624], [0.7895, 0.1476, 0.1376], [0.1476, 0.9252, 0.1376], [0.8524, 0.0748, 0.8624], [0.5000, 0.5000, 0.5000], [0.7780, 0.7780, 0.6659], [0.2220, 0.2220, 0.3341]],
  "crystal_system": "trigonal",
  "spacegroup": "R-3 (148)",
  "magmom_total_mub_per_fu": 0.00,
  "e_form_raw_ev_per_atom": -1.711
}

Entry 4:
{
  "formula": "KYNb6Cl18",
  "functional": "meta-GGA SCAN",
  "state": "single point on PBEsol structure",
  "lattice": [[-4.0963, 0.6506, 8.3049], [5.0183, -1.0180, 7.7431], [1.8307, 8.1648, 5.4515]],
  "species": ["Cl", "Cl", "Cl", "Cl", "Cl", "Cl", "Cl", "Cl", "Cl", "Cl", "Cl", "Cl", "Cl", "Cl", "Cl", "Cl", "Cl", "Cl", "K", "Nb", "Nb", "Nb", "Nb", "Nb", "Nb", "Y"],
  "fractional_positions": [[0.1970, 0.6585, 0.6784], [0.3430, 0.5291, 0.3212], [0.6585, 0.4661, 0.6784], [0.5814, 0.1365, 0.0017], [0.6561, 0.0731, 0.3320], [0.4176, 0.8636, 0.9984], [0.9388, 0.6561, 0.3320], [0.8636, 0.7204, 0.9984], [0.9268, 0.0618, 0.6676], [0.7204, 0.4176, 0.9984], [0.0731, 0.9388, 0.3320], [0.2804, 0.5814, 0.0017], [0.3438, 0.9268, 0.6676], [0.8067, 0.3430, 0.3212], [0.5291, 0.8067, 0.3212], [0.1365, 0.2804, 0.0017], [0.4661, 0.1970, 0.6784], [0.0618, 0.3438, 0.6676], [0.2215, 0.2215, 0.3354], [0.2032, 0.0883, 0.8595], [0.7978, 0.9106, 0.1403], [0.8490, 0.2032, 0.8595], [0.9106, 0.1512, 0.1403], [0.0883, 0.8490, 0.8595], [0.1512, 0.7978, 0.1403], [0.4989, 0.4989, 0.5034]],
  "crystal_system": "trigonal",
  "spacegroup": "R3 (146)",
  "magmom_total_mub_per_fu": 0.00,
  "e_form_raw_ev_per_atom": -1.684
}

Entry 5:
{
  "formula": "KNiCl3",
  "functional": "meta-GGA SCAN",
  "state": "single point on PBEsol structure",
  "lattice": [[-2.2109, -5.3320, -0.9465], [6.1870, -0.8296, -9.7780], [4.5094, -3.6530, 10.0448]],
  "species": ["Ni", "Ni", "Ni", "Ni", "Ni", "Ni", "Cl", "Cl", "Cl", "Cl", "Cl", "Cl", "Cl", "Cl", "Cl", "Cl", "Cl", "Cl", "Cl", "Cl", "Cl", "Cl", "Cl", "Cl", "K", "K", "K", "K", "K", "K"],
  "fractional_positions": [[0.4915, 0.0000, 0.0000], [0.9915, 0.0000, 0.0000], [0.3691, 0.6667, 0.3333], [0.8691, 0.3333, 0.6667], [0.8691, 0.6667, 0.3333], [0.3691, 0.3333, 0.6667], [0.6172, 0.6675, 0.4935], [0.6172, 0.1740, 0.5065], [0.6172, 0.3325, 0.8260], [0.1172, 0.3325, 0.5065], [0.6172, 0.8260, 0.3325], [0.7442, 0.1598, 0.0000], [0.7442, 0.8402, 0.8402], [0.6172, 0.4935, 0.6675], [0.6172, 0.5065, 0.1740], [0.1172, 0.8260, 0.4935], [0.2442, 0.8402, 0.0000], [0.1172, 0.1740, 0.6675], [0.1172, 0.4935, 0.8260], [0.1172, 0.5065, 0.3325], [0.7442, 0.0000, 0.1598], [0.2442, 0.1598, 0.1598], [0.2442, 0.0000, 0.8402], [0.1172, 0.6675, 0.1740], [0.1693, 0.0000, 0.3344], [0.1693, 0.3344, 0.0000], [0.6693, 0.6656, 0.0000], [0.6693, 0.0000, 0.6656], [0.6693, 0.3344, 0.3344], [0.1693, 0.6656, 0.6656]],
  "crystal_system": "hexagonal",
  "spacegroup": "P6_3cm (185)",
  "magmom_total_mub_per_fu": 2.00,
  "e_form_raw_ev_per_atom": -1.527
}

Entry 6:
{
  "formula": "KNiS2Cl",
  "functional": "meta-GGA SCAN",
  "state": "single point on PBEsol structure",
  "lattice": [[4.3714, 0.0000, 0.0000], [0.0000, 4.3714, 0.0000], [0.0000, 0.0000, 5.3458]],
  "species": ["Cl", "Ni", "K", "S", "S"],
  "fractional_positions": [[0.0000, 0.0000, 0.5000], [0.0000, 0.0000, 0.0000], [0.5000, 0.5000, 0.5000], [0.5000, 0.0000, 0.0000], [0.0000, 0.5000, 0.0000]],
  "crystal_system": "tetragonal",
  "spacegroup": "P4/mmm (123)",
  "magmom_total_mub_per_fu": 2.11,
  "e_form_raw_ev_per_atom": -0.559
}

Entry 7:
{
  "formula": "K2TaNiCl",
  "functional": "meta-GGA SCAN",
  "state": "single point on PBEsol structure",
  "lattice": [[-3.0799, -3.1363, -1.0506], [4.2068, -3.1388, -2.9627], [1.3263, -2.9969, 5.0583]],
  "species": ["Cl", "Ni", "K", "K", "Ta"],
  "fractional_positions": [[0.5000, 0.5000, 0.5000], [0.0000, 0.0000, 0.0000], [0.0000, 0.5000, 0.0000], [0.0000, 0.0000, 0.5000], [0.5000, 0.0000, 0.0000]],
  "crystal_system": "tetragonal",
  "spacegroup": "P4/mmm (123)",
  "magmom_total_mub_per_fu": 2.24,
  "e_form_raw_ev_per_atom": 0.518
}

Entry 8:
{
  "formula": "K3ClO",
  "functional": "meta-GGA SCAN",
  "state": "single point on PBEsol structure",
  "lattice": [[-2.4012, 6.6136, -1.1235], [-5.1285, -2.6230, -4.4799], [-6.3550, -0.9745, 7.8456]],
  "species": ["Cl", "Cl", "Cl", "Cl", "O", "O", "O", "O", "K", "K", "K", "K", "K", "K", "K", "K", "K", "K", "K", "K"],
  "fractional_positions": [[0.9871, 0.0485, 0.2500], [0.0129, 0.9515, 0.7500], [0.4871, 0.4515, 0.7500], [0.5129, 0.5485, 0.2500], [0.5000, 0.0000, 0.0000], [0.0000, 0.5000, 0.5000], [0.0000, 0.5000, 0.0000], [0.5000, 0.0000, 0.5000], [0.2080, 0.2091, 0.9591], [0.2920, 0.7091, 0.5409], [0.7920, 0.7909, 0.0409], [0.0767, 0.4748, 0.2500], [0.2080, 0.2091, 0.5409], [0.7080, 0.2909, 0.0409], [0.2920, 0.7091, 0.9591], [0.7080, 0.2909, 0.4591], [0.7920, 0.7909, 0.4591], [0.4233, 0.9748, 0.2500], [0.9233, 0.5252, 0.7500], [0.5767, 0.0252, 0.7500]],
  "crystal_system": "orthorhombic",
  "spacegroup": "Pnma (62)",
  "magmom_total_mub_per_fu": 0.05,
  "e_form_raw_ev_per_atom": -1.573
}

Entry 9:
{
  "formula": "K3ClO",
  "functional": "meta-GGA SCAN",
  "state": "single point on PBEsol structure",
  "lattice": [[-1.0469, -4.1606, -2.9440], [6.3496, 0.6235, -3.1392], [2.8622, -4.2243, 4.9522]],
  "species": ["K", "K", "K", "K", "K", "K", "Cl", "Cl", "O", "O"],
  "fractional_positions": [[0.0000, 0.1954, 0.8190], [0.0000, 0.8190, 0.1954], [0.0000, 0.3186, 0.3186], [0.5000, 0.5080, 0.0074], [0.5000, 0.0074, 0.5080], [0.0000, 0.6952, 0.6952], [0.5000, 0.5070, 0.5070], [0.5000, 0.0074, 0.0074], [0.0000, 0.5071, 0.0070], [0.0000, 0.0070, 0.5071]],
  "crystal_system": "orthorhombic",
  "spacegroup": "Amm2 (38)",
  "magmom_total_mub_per_fu": 0.00,
  "e_form_raw_ev_per_atom": -1.569
}

Entry 10:
{
  "formula": "K2ReCl5O",
  "functional": "meta-GGA SCAN",
  "state": "single point on PBEsol structure",
  "lattice": [[-1.6688, -0.2279, 6.5096], [9.4097, -2.2297, 2.3342], [2.7403, 12.7677, 1.1494]],
  "species": ["Re", "Re", "Re", "Re", "Cl", "Cl", "Cl", "Cl", "Cl", "Cl", "Cl", "Cl", "Cl", "Cl", "Cl", "Cl", "Cl", "Cl", "Cl", "Cl", "Cl", "Cl", "Cl", "Cl", "K", "K", "K", "K", "K", "K", "K", "K", "O", "O", "O", "O"],
  "fractional_positions": [[0.6751, 0.7500, 0.4028], [0.1751, 0.2500, 0.0972], [0.3249, 0.2500, 0.5972], [0.8249, 0.7500, 0.9028], [0.8047, 0.9874, 0.8893], [0.9270, 0.2500, 0.2248], [0.6953, 0.9874, 0.3893], [0.3047, 0.4874, 0.6107], [0.8047, 0.5126, 0.8893], [0.0243, 0.2500, 0.5024], [0.5949, 0.7500, 0.7530], [0.5730, 0.2500, 0.7248], [0.5243, 0.7500, 0.9976], [0.1953, 0.4874, 0.1107], [0.4270, 0.7500, 0.2752], [0.4757, 0.2500, 0.0024], [0.3047, 0.0126, 0.6107], [0.9051, 0.7500, 0.2530], [0.6953, 0.5126, 0.3893], [0.4051, 0.2500, 0.2470], [0.9757, 0.7500, 0.4976], [0.0949, 0.2500, 0.7470], [0.0730, 0.7500, 0.7752], [0.1953, 0.0126, 0.1107], [0.1795, 0.0017, 0.3605], [0.1795, 0.4983, 0.3605], [0.6795, 0.9983, 0.1395], [0.8205, 0.5017, 0.6395], [0.3205, 0.4983, 0.8605], [0.6795, 0.5017, 0.1395], [0.3205, 0.0017, 0.8605], [0.8205, 0.9983, 0.6395], [0.9811, 0.7500, 0.0039], [0.0189, 0.2500, 0.9961], [0.5189, 0.7500, 0.5039], [0.4811, 0.2500, 0.4961]],
  "crystal_system": "orthorhombic",
  "spacegroup": "Pnma (62)",
  "magmom_total_mub_per_fu": 0.00,
  "e_form_raw_ev_per_atom": -1.536
}

Entry 11:
{
  "formula": "K2RuCl5O",
  "functional": "meta-GGA SCAN",
  "state": "single point on PBEsol structure",
  "lattice": [[6.6970, 0.0000, 0.0000], [0.0000, 9.7346, 0.0000], [0.0000, 0.0000, 12.9908]],
  "species": ["Ru", "Ru", "Ru", "Ru", "Cl", "Cl", "Cl", "Cl", "Cl", "Cl", "Cl", "Cl", "Cl", "Cl", "Cl", "Cl", "Cl", "Cl", "Cl", "Cl", "Cl", "Cl", "Cl", "Cl", "O", "O", "O", "O", "K", "K", "K", "K", "K", "K", "K", "K"],
  "fractional_positions": [[0.6680, 0.7500, 0.4036], [0.1680, 0.2500, 0.0964], [0.3320, 0.2500, 0.5964], [0.8320, 0.7500, 0.9036], [0.1051, 0.2500, 0.7444], [0.0370, 0.2500, 0.4982], [0.8191, 0.9900, 0.8942], [0.4157, 0.7500, 0.2794], [0.9157, 0.2500, 0.2206], [0.5370, 0.7500, 0.0018], [0.5843, 0.2500, 0.7206], [0.8191, 0.5100, 0.8942], [0.3949, 0.2500, 0.2444], [0.4630, 0.2500, 0.9982], [0.6051, 0.7500, 0.7556], [0.0843, 0.7500, 0.7794], [0.6809, 0.9900, 0.3942], [0.1809, 0.0100, 0.1058], [0.9630, 0.7500, 0.5018], [0.3191, 0.0100, 0.6058], [0.6809, 0.5100, 0.3942], [0.1809, 0.4900, 0.1058], [0.3191, 0.4900, 0.6058], [0.8949, 0.7500, 0.2556], [0.9877, 0.7500, 0.0070], [0.5123, 0.7500, 0.5070], [0.0123, 0.2500, 0.9930], [0.4877, 0.2500, 0.4930], [0.6689, 0.9989, 0.1412], [0.3311, 0.0011, 0.8588], [0.3311, 0.4989, 0.8588], [0.6689, 0.5011, 0.1412], [0.1689, 0.0011, 0.3588], [0.8311, 0.5011, 0.6412], [0.8311, 0.9989, 0.6412], [0.1689, 0.4989, 0.3588]],
  "crystal_system": "orthorhombic",
  "spacegroup": "Pnma (62)",
  "magmom_total_mub_per_fu": 0.99,
  "e_form_raw_ev_per_atom": -1.362
}

Entry 12:
{
  "formula": "KOs2Cl2",
  "functional": "meta-GGA SCAN",
  "state": "single point on PBEsol structure",
  "lattice": [[3.5037, 0.0000, 0.0000], [0.0000, 3.5037, 0.0000], [-1.7518, -1.7518, 8.7737]],
  "species": ["Cl", "Cl", "K", "Os", "Os"],
  "fractional_positions": [[0.6040, 0.6040, 0.2081], [0.3960, 0.3960, 0.7919], [0.0000, 0.0000, 0.0000], [0.7500, 0.2500, 0.5000], [0.2500, 0.7500, 0.5000]],
  "crystal_system": "tetragonal",
  "spacegroup": "I4/mmm (139)",
  "magmom_total_mub_per_fu": 1.94,
  "e_form_raw_ev_per_atom": 0.283
}